The following is a DFT calculation (GGA+U) of a relaxed structure of Pm2VWO8.

a = 6.9135 Å, b = 7.2406 Å, c = 6.6483 Å
α = 90.00°, β = 90.27°, γ = 90.00°
Space group C2/m (No. 12)
Inequivalent atoms, fractional coordinates:
Pm1 0.0303 0.0000 0.2479 [4 per cell]
V1 0.0000 0.5000 0.0000 [2 per cell]
W1 0.0000 0.5000 0.5000 [2 per cell]
O1 0.0157 0.3253 0.7299 [8 per cell]
O2 0.2213 0.0000 0.5229 [4 per cell]
O3 0.2377 0.0000 0.9788 [4 per cell]

## Properties
- E_tot (eV/atom) = -7.847